Entry 1:
CaTa4P | PBE-GGA | optimized geometry

Spin magnetization: 0.0000 μB/atom
Energy: -8.4336 eV/atom
Fermi-level density of states: 34.32 states/eV/cell
Energy relative to the elements: 407 kJ/mol of formula units

a = 7.9469 Å, b = 7.9469 Å, c = 7.9469 Å
α = 90.00°, β = 90.00°, γ = 90.00°
Space group F-43m (No. 216)
One atom of each set of equivalent atoms:
Ca1 0.0000 0.0000 0.0000
Ta1 0.1283 0.1283 0.3717
P1 0.2500 0.2500 0.7500

Entry 2:
CaTaP2 | PBE-GGA | optimized geometry

Spin magnetization: 0.0000 μB/atom
Energy: -6.5287 eV/atom
Fermi-level density of states: 5.19 states/eV/cell
Polymorph energy (0 for the lowest one): 0.549 eV per atom
Energy relative to the elements: -139 kJ/mol of formula units

a = 3.8115 Å, b = 5.4330 Å, c = 7.3007 Å
α = 90.00°, β = 90.00°, γ = 90.00°
Space group Immm (No. 71)
One atom of each set of equivalent atoms:
Ca1 0.0000 0.0000 0.0000
Ta1 0.0000 0.0000 0.5000
P1 0.0000 0.5000 0.2298

Entry 3:
CaTa2P2 | PBE-GGA | optimized geometry

Spin magnetization: 0.0000 μB/atom
Energy: -7.4371 eV/atom
Fermi-level density of states: 7.13 states/eV/cell
Polymorph energy (0 for the lowest one): 0.238 eV per atom
Energy relative to the elements: -64 kJ/mol of formula units

a = 7.4869 Å, b = 7.4869 Å, c = 3.1307 Å
α = 90.00°, β = 90.00°, γ = 90.00°
Space group P4/mbm (No. 127)
One atom of each set of equivalent atoms:
Ca1 0.0000 0.0000 0.0000
Ta1 0.1289 0.3711 0.0000
P1 0.1569 0.6569 0.5000

Entry 4:
Ca2TaP | PBE-GGA | optimized geometry

Spin magnetization: 0.4232 μB/atom
Energy: -5.1271 eV/atom
Fermi-level density of states: 15.56 states/eV/cell
Polymorph energy (0 for the lowest one): 0.437 eV per atom
Energy relative to the elements: 73 kJ/mol of formula units

a = 10.0422 Å, b = 10.0422 Å, c = 4.7931 Å
α = 90.00°, β = 90.00°, γ = 90.00°
Space group I-42d (No. 122)
One atom of each set of equivalent atoms:
Ca1 0.1126 0.2500 0.1250
Ta1 0.0000 0.0000 0.5000
P1 0.0000 0.0000 0.0000

Entry 5:
CaTaP2 | PBE-GGA | optimized geometry

Spin magnetization: 0.0000 μB/atom
Energy: -6.8370 eV/atom
Fermi-level density of states: 2.21 states/eV/cell
Polymorph energy (0 for the lowest one): 0.240 eV per atom
Energy relative to the elements: -258 kJ/mol of formula units

a = 3.2233 Å, b = 3.1984 Å, c = 6.8931 Å
α = 90.00°, β = 90.31°, γ = 90.00°
Space group P2/m (No. 10)
One atom of each set of equivalent atoms:
Ca1 0.0000 0.0000 0.0000
Ta1 0.0000 0.0000 0.5000
P1 0.4992 0.5000 0.2947

Entry 6:
Ca2TaP | PBE-GGA | optimized geometry

Spin magnetization: 0.0000 μB/atom
Energy: -5.5640 eV/atom
Fermi-level density of states: 1.86 states/eV/cell
Polymorph energy (0 for the lowest one): 0.000 eV per atom
Energy relative to the elements: -96 kJ/mol of formula units

a = 3.4445 Å, b = 3.4445 Å, c = 8.4831 Å
α = 90.00°, β = 90.00°, γ = 90.00°
Space group P4mm (No. 99)
One atom of each set of equivalent atoms:
Ca1 0.0000 0.0000 0.0000
Ca2 0.5000 0.5000 0.3832
Ta1 0.5000 0.5000 0.7357
P1 0.0000 0.0000 0.6444

| no. | volume (Å³/atom) |
| --- | --- |
| 1 | 20.91 |
| 2 | 18.90 |
| 3 | 17.55 |
| 4 | 30.21 |
| 5 | 17.77 |
| 6 | 25.16 |